Material: V4PdI2
Method: DFT, PBE
State: optimized geometry

a b c (Å): 7.729 7.729 7.729
angles (deg): 143.89 143.89 52.00
Element x y z (fractional)
V: 0.000 0.500 0.500
V: 0.184 0.184 0.000
V: 0.500 0.000 0.500
V: 0.816 0.816 0.000
Pd: 0.000 0.000 0.000
I: 0.380 0.380 0.000
I: 0.620 0.620 0.000

E   -37.7 eV/cell
Formation energy without anion corrections   1015.8 meV/atom

---

Material: Ac6GePt5
Method: DFT, PBE
State: optimized geometry

a b c (Å): 7.673 7.673 7.672
angles (deg): 99.67 99.67 119.86
Element x y z (fractional)
Ac: 0.073 0.414 0.745
Ac: 0.243 0.243 0.254
Ac: 0.414 0.073 0.745
Ac: 0.586 0.927 0.255
Ac: 0.757 0.757 0.746
Ac: 0.927 0.586 0.255
Ge: 0.500 0.500 0.000
Pt: 0.000 0.000 0.500
Pt: 0.167 0.833 0.000
Pt: 0.336 0.664 0.500
Pt: 0.664 0.336 0.500
Pt: 0.833 0.167 0.000

Energy of formation from the pure elements   -1.0493 eV/atom
E   -72.1 eV/cell

---

Material: Rb4Ga2Au5
Method: DFT, PBE
State: optimized geometry

a b c (Å): 16.310 16.310 16.310
angles (deg): 148.85 37.16 160.24
Element x y z (fractional)
Rb: 0.059 0.707 0.765
Rb: 0.161 0.164 0.325
Rb: 0.339 0.664 0.003
Rb: 0.441 0.207 0.648
Rb: 0.559 0.793 0.352
Rb: 0.661 0.336 0.997
Rb: 0.839 0.836 0.675
Rb: 0.941 0.293 0.235
Ga: 0.015 0.750 0.265
Ga: 0.485 0.750 0.735
Ga: 0.515 0.250 0.265
Ga: 0.985 0.250 0.735
Au: 0.159 0.541 0.700
Au: 0.230 0.777 0.007
Au: 0.250 0.250 0.000
Au: 0.270 0.277 0.547
Au: 0.341 0.041 0.383
Au: 0.659 0.959 0.617
Au: 0.730 0.723 0.453
Au: 0.750 0.750 0.000
Au: 0.770 0.223 0.993
Au: 0.841 0.459 0.300

Energy of formation from the pure elements   -0.2191 eV/atom
E   -57.4 eV/cell

---

Material: BaCrW3
Method: DFT, PBE
State: optimized geometry

a b c (Å): 4.741 4.741 4.741
angles (deg): 90.00 90.00 90.00
Element x y z (fractional)
Ba: 0.000 0.000 0.000
Cr: 0.500 0.500 0.500
W: 0.000 0.500 0.500
W: 0.500 0.000 0.500
W: 0.500 0.500 0.000

Energy of formation from the pure elements   1.5975 eV/atom
E   -42.4 eV/cell
E above lowest polymorph   0 meV per atom

---

Material: LiTh2BIr6
Method: DFT, PBE
State: optimized geometry

a b c (Å): 6.140 6.140 6.140
angles (deg): 120.14 119.78 90.07
Element x y z (fractional)
Li: 0.000 0.000 0.000
Th: 0.249 0.749 0.500
Th: 0.751 0.251 0.500
B: 0.500 0.500 0.000
Ir: 0.258 0.258 0.000
Ir: 0.258 0.258 0.516
Ir: 0.258 0.742 0.001
Ir: 0.742 0.258 0.999
Ir: 0.742 0.742 0.000
Ir: 0.742 0.742 0.484

Energy of formation from the pure elements   -0.4918 eV/atom
E   -81.5 eV/cell

---

Material: CsBI3
Method: DFT, PBE
State: optimized geometry

a b c (Å): 5.511 5.511 5.511
angles (deg): 90.00 90.00 90.00
Element x y z (fractional)
Cs: 0.000 0.000 0.000
B: 0.500 0.500 0.500
I: 0.000 0.500 0.500
I: 0.500 0.000 0.500
I: 0.500 0.500 0.000

E   -12.3 eV/cell
Formation energy without anion corrections   -30.8 meV/atom
E above lowest polymorph   635 meV per atom

---

Material: TaVNi2
Method: DFT, PBE
State: optimized geometry

a b c (Å): 6.318 3.405 10.018
angles (deg): 90.00 90.00 90.00
Element x y z (fractional)
Ta: 0.224 0.250 0.179
Ta: 0.276 0.750 0.679
Ta: 0.724 0.250 0.321
Ta: 0.776 0.750 0.821
V: 0.063 0.750 0.414
V: 0.437 0.250 0.914
V: 0.563 0.750 0.086
V: 0.937 0.250 0.586
Ni: 0.074 0.250 0.820
Ni: 0.159 0.750 0.983
Ni: 0.341 0.250 0.483
Ni: 0.426 0.750 0.320
Ni: 0.574 0.250 0.680
Ni: 0.659 0.750 0.517
Ni: 0.841 0.250 0.017
Ni: 0.926 0.750 0.180

Energy of formation from the pure elements   -0.1286 eV/atom
E   -132.2 eV/cell
E above lowest polymorph   45 meV per atom

---

Material: CsRb3Si
Method: DFT, PBE
State: optimized geometry

a b c (Å): 8.290 8.290 8.290
angles (deg): 90.00 90.00 90.00
Element x y z (fractional)
Cs: 0.000 0.000 0.000
Rb: 0.000 0.000 0.500
Rb: 0.000 0.500 0.000
Rb: 0.500 0.000 0.000
Si: 0.500 0.500 0.500

E   -4.5 eV/cell
Formation energy without anion corrections   930.2 meV/atom